A plane-wave DFT calculation with PBE was carried out for crystalline LaMgZn2Ag5 at its relaxed geometry.

Properties
The energy of formation from the pure elements is -28.9 meV per atom. The density of states at the Fermi level comes out at 3.9 states/eV/f.u.

abc: 4.9445 4.9445 7.7603
angles: 90.00 90.00 90.00
Space group P4/mmm (No. 123)
Asymmetric unit:
La 0.0000 0.0000 0.0000 [1 per cell]
Mg 0.0000 0.0000 0.5000 [1 per cell]
Zn 0.5000 0.5000 0.3439 [2 per cell]
Ag 0.0000 0.5000 0.2656 [4 per cell]
Ag 0.5000 0.5000 0.0000 [1 per cell]

A plane-wave DFT calculation with PBE was carried out for crystalline LaMg2ZnAg2 at its relaxed geometry.

Properties
The energy of formation from the pure elements is 32.4 meV per atom. The density of states at the Fermi level comes out at 5.4 states/eV/f.u.

abc: 5.2146 5.2146 11.3760
angles: 90.00 90.00 90.00
Space group I4/mmm (No. 139)
Asymmetric unit:
La 0.0000 0.0000 0.0000 [2 per cell]
Mg 0.0000 0.5000 0.2500 [4 per cell]
Zn 0.0000 0.0000 0.5000 [2 per cell]
Ag 0.0000 0.0000 0.2817 [4 per cell]

A plane-wave DFT calculation with PBE was carried out for crystalline La2MgZnAg6 at its relaxed geometry.

Properties
The energy of formation from the pure elements is 59.5 meV per atom. The density of states at the Fermi level comes out at 7.4 states/eV/f.u.

abc: 7.0409 7.0409 9.9421
angles: 90.00 90.00 90.00
Space group I4/mmm (No. 139)
Asymmetric unit:
La 0.0000 0.5000 0.2500 [4 per cell]
Mg 0.0000 0.0000 0.0000 [2 per cell]
Zn 0.0000 0.0000 0.5000 [2 per cell]
Ag 0.0000 0.0000 0.2533 [4 per cell]
Ag 0.2466 0.2466 0.5000 [8 per cell]

A plane-wave DFT calculation with PBE was carried out for crystalline LaMnAg at its relaxed geometry.

Properties
The energy of formation from the pure elements is 711.2 meV per atom. The density of states at the Fermi level comes out at 2.1 states/eV/f.u.

abc: 7.0527 7.0527 7.0527
angles: 90.00 90.00 90.00
Space group F-43m (No. 216)
Asymmetric unit:
La 0.0000 0.0000 0.0000 [4 per cell]
Mn 0.2500 0.2500 0.2500 [4 per cell]
Ag 0.2500 0.2500 0.7500 [4 per cell]

A plane-wave DFT calculation with PBE was carried out for crystalline La2MnAg at its relaxed geometry.

Properties
The energy of formation from the pure elements is 79.6 meV per atom. The density of states at the Fermi level comes out at 5.2 states/eV/f.u.

abc: 12.3394 3.6471 5.1193
angles: 90.00 114.28 90.00
Space group Cm (No. 8)
Asymmetric unit:
La 0.0000 0.0000 0.0000 [2 per cell]
La 0.2030 0.0000 0.7016 [2 per cell]
Mn 0.4476 0.0000 0.4482 [2 per cell]
Ag 0.2683 0.5000 0.2664 [2 per cell]

A plane-wave DFT calculation with PBE was carried out for crystalline LaMnAg4 at its relaxed geometry.

Properties
The energy of formation from the pure elements is 35.7 meV per atom. The density of states at the Fermi level comes out at 5.2 states/eV/f.u.

abc: 7.9696 7.9696 7.9696
angles: 90.00 90.00 90.00
Space group F-43m (No. 216)
Asymmetric unit:
La 0.0000 0.0000 0.0000 [4 per cell]
Mn 0.2500 0.2500 0.7500 [4 per cell]
Ag 0.1240 0.1240 0.3760 [16 per cell]

A plane-wave DFT calculation with PBE was carried out for crystalline La2MnAg at its relaxed geometry.

Properties
The energy of formation from the pure elements is 213.2 meV per atom. The density of states at the Fermi level comes out at 4.3 states/eV/f.u.

abc: 7.4942 3.4833 8.4941
angles: 90.00 97.98 90.00
Space group C2/m (No. 12)
Asymmetric unit:
La 0.2462 0.0000 0.2728 [4 per cell]
Mn 0.0000 0.0000 0.5000 [2 per cell]
Ag 0.0000 0.5000 0.0000 [2 per cell]

A plane-wave DFT calculation with PBE was carried out for crystalline LaMnAg at its relaxed geometry.

Properties
The energy of formation from the pure elements is 95.9 meV per atom. The density of states at the Fermi level comes out at 3.5 states/eV/f.u.

abc: 4.7106 4.7106 3.7957
angles: 90.00 90.00 120.00
Space group P-6m2 (No. 187)
Asymmetric unit:
La 0.0000 0.0000 0.0000 [1 per cell]
Mn 0.6667 0.3333 0.5000 [1 per cell]
Ag 0.3333 0.6667 0.5000 [1 per cell]

no.,raw total energy (eV per atom)
1,-2.62
2,-2.48
3,-2.92
4,-4.94
5,-5.39
6,-4.21
7,-5.26
8,-5.55